[1]
VASP calculation (PBE-GGA) on crystalline NdEr8Sc2 at its relaxed geometry.

Cell lengths 9.508, 9.508, 5.812 Å; angles 107.72, 107.72, 122.92 degrees
Element x y z (fractional)
Nd 0.000 0.000 0.000
Er 0.097 0.364 0.729
Er 0.202 0.798 0.000
Er 0.364 0.097 0.729
Er 0.497 0.497 0.256
Er 0.503 0.503 0.744
Er 0.636 0.903 0.271
Er 0.798 0.202 0.000
Er 0.903 0.636 0.271
Sc 0.313 0.687 0.500
Sc 0.687 0.313 0.500

The energy above the lowest structure with this stoichiometry is 1.434 eV per formula unit. The energy relative to the elements is 183 kJ/mol of formula units. The calculation puts the density of states at the Fermi level at 1.35 states/eV per atom.


[2]
VASP calculation (PBE-GGA) on crystalline Sc2Cd2Bi at its relaxed geometry.

Cell lengths 4.020, 4.020, 15.921 Å; angles 90.00, 90.00, 90.00 degrees
Element x y z (fractional)
Sc 0.000 0.000 0.093
Sc 0.000 0.000 0.907
Sc 0.500 0.500 0.407
Sc 0.500 0.500 0.593
Cd 0.000 0.500 0.250
Cd 0.000 0.500 0.750
Cd 0.500 0.000 0.250
Cd 0.500 0.000 0.750
Bi 0.000 0.000 0.500
Bi 0.500 0.500 0.000

The energy above the lowest structure with this stoichiometry is 0.385 eV per formula unit. The energy relative to the elements is -53 kJ/mol of formula units. The calculation puts the density of states at the Fermi level at 0.66 states/eV per atom.


[3]
VASP calculation (PBE-GGA) on crystalline TbPr5Y2 at its relaxed geometry.

Cell lengths 7.310, 14.628, 5.182 Å; angles 90.00, 90.00, 90.00 degrees
Element x y z (fractional)
Tb 0.000 0.000 0.000
Tb 0.500 0.500 0.000
Pr 0.000 0.500 0.000
Pr 0.001 0.249 0.000
Pr 0.248 0.876 0.500
Pr 0.252 0.376 0.500
Pr 0.499 0.749 0.000
Pr 0.500 0.000 0.000
Pr 0.501 0.251 0.000
Pr 0.748 0.624 0.500
Pr 0.752 0.124 0.500
Pr 0.999 0.751 0.000
Y 0.250 0.124 0.500
Y 0.250 0.624 0.500
Y 0.750 0.376 0.500
Y 0.750 0.876 0.500

The energy above the lowest structure with this stoichiometry is 0.000 eV per formula unit. The energy relative to the elements is 10 kJ/mol of formula units. The calculation puts the density of states at the Fermi level at 1.49 states/eV per atom.